Density functional theory data (PBE-GGA) for crystalline Mn2BeRh at its relaxed geometry. Values from VASP.

Calculated values
The symmetry is P2/m, No. 10. As for the density of states at the Fermi level: 3.38 states/eV per cell. The calculation puts the total energy at -29.77 eV/cell. For the total magnetic moment, the calculation gives 0.001 μB/atom. For the formation energy, the calculation gives -89.5 meV per atom.

Structure (Quantum ESPRESSO input):
```
&SYSTEM
  ibrav = 0, nat = 4, ntyp = 3
/
ATOMIC_SPECIES
Be 9.01 Be.upf
Mn 54.94 Mn.upf
Rh 102.91 Rh.upf
ATOMIC_POSITIONS crystal
Be 0.5000 0.7500 0.7500
Mn 0.0000 0.0327 0.9664
Mn 0.0000 0.4673 0.5336
Rh 0.5000 0.2500 0.2500
CELL_PARAMETERS angstrom
3.7352 0.0000 0.0000
0.0000 2.5694 0.0035
0.0000 2.5405 4.6390
```